## A
Sm2CdRh PBE-GGA relaxed; space group = R-3m (166); N(E_F) = 1.832 states/eV/cell
1.0
1.9934 1.1509 8.1482
-1.9934 1.1509 8.1482
0.0000 -2.3017 8.1482
Sm Cd Rh
2 1 1
direct
0.2327 0.2327 0.2327
0.7673 0.7673 0.7673
0.0000 0.0000 0.0000
0.5000 0.5000 0.5000



## B
Sm2CdRh PBE-GGA relaxed; space group = P4/mmm (123); N(E_F) = 1.718 states/eV/cell
1.0
3.5797 0.0000 0.0000
0.0000 3.5797 0.0000
0.0000 0.0000 7.7036
Sm Cd Rh
2 1 1
direct
0.0000 0.0000 0.2172
0.0000 0.0000 0.7828
0.5000 0.5000 0.5000
0.5000 0.5000 0.0000



Stability ranking, top and bottom: B is the most stable and A is the least stable.



## A
Sm7Cd2Rh2 PBE-GGA relaxed; space group = Imm2 (44); N(E_F) = 13.781 states/eV/cell
1.0
-1.9028 7.7633 5.3190
1.9028 -7.7633 5.3190
1.9028 7.7633 -5.3190
Sm Cd Rh
7 2 2
direct
0.0000 0.0000 0.0000
0.0645 0.7077 0.3568
0.3388 0.5077 0.8311
0.3509 0.7077 0.6432
0.6494 0.3052 0.3442
0.6766 0.5077 0.1689
0.9610 0.3052 0.6558
0.4529 0.9529 0.5000
0.6941 0.6941 0.0000
0.2085 0.0160 0.1926
0.8234 0.0160 0.8074



## B
Sm7Cd2Rh2 PBE-GGA relaxed; space group = Cmmm (65); N(E_F) = 11.625 states/eV/cell
1.0
4.0503 -5.5876 0.0000
4.0503 5.5876 0.0000
0.0000 0.0000 7.2969
Sm Cd Rh
7 2 2
direct
0.0000 0.0000 0.0000
0.0000 0.5000 0.2524
0.0000 0.5000 0.7476
0.5000 0.0000 0.2524
0.5000 0.0000 0.7476
0.5000 0.5000 0.2450
0.5000 0.5000 0.7550
0.1738 0.1738 0.5000
0.8262 0.8262 0.5000
0.2897 0.7103 0.0000
0.7103 0.2897 0.0000



Stability ranking, top and bottom: A is the most stable and B is the least stable.



## A
Sr2Cd2Rh PBE-GGA relaxed; space group = P4/mbm (127); N(E_F) = 13.223 states/eV/cell
1.0
7.4519 0.0000 0.0000
0.0000 7.4519 0.0000
0.0000 0.0000 5.1112
Sr Cd Rh
4 4 2
direct
0.1818 0.3182 0.0000
0.3182 0.8182 0.0000
0.6818 0.1818 0.0000
0.8182 0.6818 0.0000
0.1391 0.6391 0.5000
0.3609 0.1391 0.5000
0.6391 0.8609 0.5000
0.8609 0.3609 0.5000
0.0000 0.0000 0.5000
0.5000 0.5000 0.5000



## B
Sr2Cd2Rh PBE-GGA relaxed; space group = C2/m (12); N(E_F) = 5.071 states/eV/cell
1.0
5.8270 -2.2011 0.0000
5.8270 2.2011 0.0000
-4.5627 0.0000 11.3316
Sr Cd Rh
4 4 2
direct
0.0026 0.0026 0.1611
0.1996 0.1996 0.6362
0.8004 0.8004 0.3638
0.9974 0.9974 0.8389
0.3169 0.3169 0.9477
0.4803 0.4803 0.6128
0.5197 0.5197 0.3872
0.6831 0.6831 0.0523
0.3115 0.3115 0.1828
0.6885 0.6885 0.8172



Stability ranking, top and bottom: B is the most stable and A is the least stable.



## A
Sr4CdRh PBE-GGA relaxed; space group = C2/c (15); N(E_F) = 8.750 states/eV/cell
1.0
5.0408 -8.0196 0.0000
5.0408 8.0196 0.0000
-4.5339 0.0000 6.0261
Sr Cd Rh
8 2 2
direct
0.0584 0.6414 0.8441
0.1961 0.2710 0.7282
0.2710 0.1961 0.2282
0.3586 0.9416 0.6559
0.6414 0.0584 0.3441
0.7290 0.8039 0.7718
0.8039 0.7290 0.2718
0.9416 0.3586 0.1559
0.3718 0.6282 0.2500
0.6282 0.3718 0.7500
0.0802 0.9198 0.7500
0.9198 0.0802 0.2500



## B
Sr4CdRh PBE-GGA relaxed; space group = F-43m (216); N(E_F) = 8.319 states/eV/cell
1.0
0.0000 4.7675 4.7675
4.7675 0.0000 4.7675
4.7675 4.7675 0.0000
Sr Cd Rh
4 1 1
direct
0.3758 0.3758 0.3758
0.3758 0.3758 0.8725
0.3758 0.8725 0.3758
0.8725 0.3758 0.3758
0.0000 0.0000 0.0000
0.7500 0.7500 0.7500



Stability ranking, top and bottom: A is the most stable and B is the least stable.



## A
SrCdRh3 PBE-GGA relaxed; space group = Pm-3m (221); N(E_F) = 4.854 states/eV/cell
1.0
4.9491 0.0000 0.0000
0.0000 4.9491 0.0000
0.0000 0.0000 4.9491
Sr Cd Rh
1 1 3
direct
0.0000 0.0000 0.0000
0.5000 0.5000 0.5000
0.0000 0.0000 0.5000
0.0000 0.5000 0.0000
0.5000 0.0000 0.0000



## B
SrCdRh3 PBE-GGA relaxed; space group = Pm-3m (221); N(E_F) = 5.275 states/eV/cell
1.0
4.9739 0.0000 0.0000
0.0000 4.9739 0.0000
0.0000 0.0000 4.9739
Sr Cd Rh
1 1 3
direct
0.0000 0.0000 0.0000
0.5000 0.5000 0.5000
0.0000 0.5000 0.5000
0.5000 0.0000 0.5000
0.5000 0.5000 0.0000



Stability ranking, top and bottom: B is the most stable and A is the least stable.



## A
SrTl2CdRh PBE-GGA relaxed; space group = P4/mmm (123); N(E_F) = 3.183 states/eV/cell
1.0
5.2603 0.0000 0.0000
0.0000 5.2603 0.0000
0.0000 0.0000 5.2763
Sr Tl Cd Rh
1 2 1 1
direct
0.0000 0.0000 0.0000
0.0000 0.5000 0.5000
0.5000 0.0000 0.5000
0.5000 0.5000 0.0000
0.5000 0.5000 0.5000



## B
SrTl2CdRh PBE-GGA relaxed; space group = P4/mmm (123); N(E_F) = 2.149 states/eV/cell
1.0
5.3005 0.0000 0.0000
0.0000 5.3005 0.0000
0.0000 0.0000 5.6786
Sr Tl Cd Rh
1 2 1 1
direct
0.0000 0.0000 0.0000
0.0000 0.5000 0.5000
0.5000 0.0000 0.5000
0.5000 0.5000 0.0000
0.0000 0.0000 0.5000



Stability ranking, top and bottom: A is the most stable and B is the least stable.